# CsCr2CdF8 PBE+U optimized geometry
data_CsCr2CdF8
_chemical_formula_sum 'Cs1 Cr2 Cd1 F8'
_cell_length_a 5.3070
_cell_length_b 5.4282
_cell_length_c 6.8784
_cell_angle_alpha 89.43
_cell_angle_beta 89.41
_cell_angle_gamma 87.47
_symmetry_space_group_name_H-M 'P -1'
_symmetry_Int_Tables_number 2
loop_
_symmetry_equiv_pos_as_xyz
'x,y,z'
'-x,-y,-z'
loop_
_atom_site_label
_atom_site_fract_x
_atom_site_fract_y
_atom_site_fract_z
_atom_site_occupancy
Cs1 0.0000 0.0000 0.0000 1
Cr1 0.4992 0.4989 0.7395 1
Cd1 0.0000 0.0000 0.5000 1
F1 0.2591 0.7823 0.7040 1
F2 0.2632 0.7866 0.2954 1
F3 0.3031 0.3407 0.5025 1
F4 0.3249 0.3819 0.0059 1
# E_tot: -5.087 eV per atom
# Total magnetic moment: 0.58 μB per atom
# V: 197.94 Å³/cell